Record 1
# RbVH24S2O20 (PBE with a Hubbard U, relaxed)
data_RbVH24S2O20
_space_group_name_H-M_alt 'P a -3'
_space_group_IT_number 205
_space_group_name_Hall '-P 2ac 2ab 3'
_cell_length_a 12.449
_cell_length_b 12.449
_cell_length_c 12.449
_cell_angle_alpha 90.00
_cell_angle_beta 90.00
_cell_angle_gamma 90.00
loop_
_atom_site_label
_atom_site_type_symbol
_atom_site_fract_x
_atom_site_fract_y
_atom_site_fract_z
Rb1 Rb 0.000 0.000 0.000
V1 V 0.000 0.000 0.500
H1 H 0.008 0.732 0.720
H2 H 0.024 0.712 0.064
H3 H 0.025 0.207 0.560
H4 H 0.127 0.722 0.683
S1 S 0.173 0.173 0.173
O1 O 0.000 0.163 0.498
O2 O 0.053 0.710 0.658
O3 O 0.063 0.220 0.166
O4 O 0.242 0.242 0.242
# Density of states at the Fermi level   0.000 states/eV per atom
# Raw total energy   -5.32 eV/atom
# Calculated volume   10.0 Å³ per atom

***

Record 2
# RbVH6SO9 (PBE with a Hubbard U, relaxed)
data_RbVH6SO9
_space_group_name_H-M_alt 'P 1 21 1'
_space_group_IT_number 4
_cell_length_a 6.297
_cell_length_b 10.068
_cell_length_c 6.759
_cell_angle_alpha 90.00
_cell_angle_beta 107.87
_cell_angle_gamma 90.00
loop_
_space_group_symop_operation_xyz
'x,y,z'
'-x,y+1/2,-z'
loop_
_atom_site_label
_atom_site_type_symbol
_atom_site_fract_x
_atom_site_fract_y
_atom_site_fract_z
Rb1 Rb 0.193 0.000 0.183
V1 V 0.122 0.350 0.384
H1 H 0.022 0.113 0.652
H2 H 0.197 0.612 0.266
H3 H 0.277 0.559 0.695
H4 H 0.317 0.427 0.824
H5 H 0.389 0.691 0.073
H6 H 0.465 0.199 0.694
S1 S 0.417 0.849 0.733
O1 O 0.045 0.291 0.145
O2 O 0.071 0.557 0.286
O3 O 0.179 0.212 0.535
O4 O 0.185 0.881 0.589
O5 O 0.221 0.467 0.693
O6 O 0.379 0.707 0.213
O7 O 0.439 0.391 0.402
O8 O 0.439 0.705 0.778
O9 O 0.470 0.929 0.921
# Density of states at the Fermi level   0.000 states/eV per atom
# Raw total energy   -5.68 eV/atom
# Calculated volume   11.3 Å³ per atom